Below is a geometry-optimized MgBeP4 structure, with properties calculated at the PBE-GGA level.

Output
Space group = F-43m, No. 216
Formation energy = 0.578 eV/atom
Electronic total energy = -23.49 eV per cell
Theoretical density = 2902 kg/m³

Structure (extended XYZ):
```
6
Lattice="2.3399 -4.4509 0.0984 -0.7489 -3.1502 3.8484 -2.6225 -4.2356 -0.6910" Properties=species:S:1:pos:R:3 pbc="T T T"
Mg 0.0000 0.0000 0.0000
Be -0.7735 -8.8775 2.4419
P 0.7714 -6.6574 1.2734
P -1.6873 -6.5507 0.8823
P -0.7590 -6.0130 3.1314
P -0.3879 -4.4522 1.2246
```

---

Below is a geometry-optimized MnCd2AsRh structure, with properties calculated at the PBE-GGA level.

Output
Space group = P4/mmm, No. 123
Formation energy = 0.679 eV/atom
Electronic total energy = -19.61 eV per cell
Theoretical density = 6266 kg/m³

Structure (extended XYZ):
```
5
Lattice="-0.1671 4.6452 2.1997 -4.0972 0.7591 -1.9143 -2.3034 -2.0352 4.1227" Properties=species:S:1:pos:R:3 pbc="T T T"
As 0.0000 0.0000 0.0000
Mn -3.2838 1.6846 2.2041
Rh -2.0486 0.3796 -0.9572
Cd -1.1517 -1.0176 2.0614
Cd -0.0836 2.3226 1.0999
```

---

Below is a geometry-optimized KZrMo2 structure, with properties calculated at the PBE-GGA level.

Output
Space group = R3m, No. 160
Formation energy = 0.698 eV/atom
Electronic total energy = -28.51 eV per cell
Theoretical density = 5858 kg/m³

Structure (extended XYZ):
```
4
Lattice="-3.2065 -3.5337 -9.7708 -1.4558 -6.0027 -8.9491 -4.4492 -5.8275 -8.0300" Properties=species:S:1:pos:R:3 pbc="T T T"
K -6.7737 -11.4218 -19.8865
Mo -8.9317 -15.0607 -26.2222
Mo -2.3411 -3.9476 -6.8732
Zr -4.7321 -7.9793 -13.8928
```

---

Below is a geometry-optimized Zn2PtW structure, with properties calculated at the PBE-GGA level.

Output
Space group = P4/mmm, No. 123
Formation energy = 0.088 eV/atom
Electronic total energy = -21.19 eV per cell
Theoretical density = 14061 kg/m³

Structure (extended XYZ):
```
4
Lattice="3.9057 0.0000 0.0000 0.0000 3.9259 0.0000 0.0000 0.0000 3.9259" Properties=species:S:1:pos:R:3 pbc="T T T"
Pt 1.9529 1.9629 0.0000
W 1.9529 0.0000 1.9629
Zn 0.0000 0.0000 0.0000
Zn 0.0000 1.9629 1.9629
```

---

In states/eV per atom, the Fermi-level density of states values for the records above are, in order, 0.52 0.53 0.96 0.85.